Here is Zr8Si after structural relaxation from the Alexandria database. Energies are from PBE.

Geometry as CIF:
```
data_Zr8Si
_chemical_formula_sum 'Zr16 Si2'
_cell_length_a 9.575
_cell_length_b 9.575
_cell_length_c 4.274
_cell_angle_alpha 90.00
_cell_angle_beta 90.00
_cell_angle_gamma 90.00
_symmetry_space_group_name_H-M 'I 4/m m m'
_symmetry_Int_Tables_number 139
_symmetry_space_group_name_Hall '-I 4 2'
loop_
_atom_site_label
_atom_site_type_symbol
_atom_site_fract_x
_atom_site_fract_y
_atom_site_fract_z
Zr1 Zr 0.000 0.328 0.000
Zr2 Zr 0.158 0.158 0.500
Si1 Si 0.000 0.000 0.000
```

Calculated values
DOS(E_F) ... 15.62 states/eV/cell
Formation energy (no corrections) ... -0.1491 eV/atom



Here is ZrSi2 after structural relaxation from the Alexandria database. Energies are from PBE.

Geometry as CIF:
```
data_ZrSi2
_chemical_formula_sum 'Zr4 Si8'
_cell_length_a 10.491
_cell_length_b 3.656
_cell_length_c 5.503
_cell_angle_alpha 90.00
_cell_angle_beta 102.65
_cell_angle_gamma 90.00
_symmetry_space_group_name_H-M 'C 1 2/m 1'
_symmetry_Int_Tables_number 12
_symmetry_space_group_name_Hall '-C 2y'
loop_
_atom_site_label
_atom_site_type_symbol
_atom_site_fract_x
_atom_site_fract_y
_atom_site_fract_z
Zr1 Zr 0.149 0.000 0.083
Si1 Si 0.013 0.500 0.720
Si2 Si 0.194 0.000 0.593
```

Calculated values
DOS(E_F) ... 4.96 states/eV/cell
Formation energy (no corrections) ... -0.3505 eV/atom



Here is ZrSi5 after structural relaxation from the Alexandria database. Energies are from PBE.

Geometry as CIF:
```
data_ZrSi5
_chemical_formula_sum 'Zr2 Si10'
_cell_length_a 9.628
_cell_length_b 3.573
_cell_length_c 5.577
_cell_angle_alpha 90.00
_cell_angle_beta 103.70
_cell_angle_gamma 90.00
_symmetry_space_group_name_H-M 'C 1 m 1'
_symmetry_Int_Tables_number 8
_symmetry_space_group_name_Hall 'C -2y'
loop_
_atom_site_label
_atom_site_type_symbol
_atom_site_fract_x
_atom_site_fract_y
_atom_site_fract_z
Zr1 Zr 0.000 0.000 0.000
Si1 Si 0.001 0.000 0.501
Si2 Si 0.156 0.500 0.344
Si3 Si 0.187 0.500 0.795
Si4 Si 0.313 0.000 0.205
Si5 Si 0.345 0.000 0.655
```

Calculated values
DOS(E_F) ... 3.67 states/eV/cell
Formation energy (no corrections) ... -0.0778 eV/atom



What did the third record say?
Here is ZrSi5 after structural relaxation from the Alexandria database. Energies are from PBE.

Geometry as CIF:
```
data_ZrSi5
_chemical_formula_sum 'Zr2 Si10'
_cell_length_a 9.628
_cell_length_b 3.573
_cell_length_c 5.577
_cell_angle_alpha 90.00
_cell_angle_beta 103.70
_cell_angle_gamma 90.00
_symmetry_space_group_name_H-M 'C 1 m 1'
_symmetry_Int_Tables_number 8
_symmetry_space_group_name_Hall 'C -2y'
loop_
_atom_site_label
_atom_site_type_symbol
_atom_site_fract_x
_atom_site_fract_y
_atom_site_fract_z
Zr1 Zr 0.000 0.000 0.000
Si1 Si 0.001 0.000 0.501
Si2 Si 0.156 0.500 0.344
Si3 Si 0.187 0.500 0.795
Si4 Si 0.313 0.000 0.205
Si5 Si 0.345 0.000 0.655
```

Calculated values
DOS(E_F) ... 3.67 states/eV/cell
Formation energy (no corrections) ... -0.0778 eV/atom



- Among the records above, which one has the lowest formation energy (no corrections)?
  ZrSi2



- Which of these has the highest DOS(E_F)?
  Zr8Si